## TeAuBr8 (GGA-PBE)

Data for a geometry-optimized TeAuBr8 structure.

Computed properties:
Its symmetry is No. 2. The total DFT energy (no corrections) is -2.194 eV per atom. As for the volume: 690 Å³ per cell.

Cell: 7.956 9.051 10.121 Å, 86.94 72.61 82.90°
Fractional positions:
Te 0.118 0.256 0.228
Te 0.882 0.744 0.772
Au 0.495 0.894 0.189
Au 0.505 0.106 0.811
Br 0.100 0.807 0.542
Br 0.121 0.682 0.892
Br 0.145 0.520 0.287
Br 0.202 0.929 0.143
Br 0.226 0.159 0.750
Br 0.418 0.405 0.566
Br 0.421 0.325 0.966
Br 0.423 0.116 0.337
Br 0.577 0.884 0.663
Br 0.579 0.675 0.034
Br 0.582 0.595 0.434
Br 0.774 0.841 0.250
Br 0.798 0.071 0.857
Br 0.855 0.480 0.713
Br 0.879 0.318 0.108
Br 0.900 0.193 0.458


## GdThB4 (GGA-PBE)

Data for a geometry-optimized GdThB4 structure.

Computed properties:
Its symmetry is No. 191. The total DFT energy (no corrections) is -6.941 eV per atom. As for the volume: 78 Å³ per cell. The total moment is 0.0 μB per formula unit.

Cell: 3.315 3.315 8.159 Å, 90.00 90.00 120.00°
Fractional positions:
Gd 0.000 0.000 0.000
Th 0.000 0.000 0.500
B 0.333 0.667 0.241
B 0.333 0.667 0.759
B 0.667 0.333 0.241
B 0.667 0.333 0.759


## Y2GaCo (GGA-PBE)

Data for a geometry-optimized Y2GaCo structure.

Computed properties:
Its symmetry is No. 38. The total DFT energy (no corrections) is -6.152 eV per atom. As for the volume: 88 Å³ per cell. The total moment is 0.0 μB per formula unit.

Cell: 3.924 5.734 5.734 Å, 42.74 90.00 90.00°
Fractional positions:
Y 0.000 0.000 0.000
Y 0.500 0.287 0.287
Ga 0.500 0.585 0.585
Co 0.000 0.726 0.726


## BaPrTeAuSe2 (GGA-PBE)

Data for a geometry-optimized BaPrTeAuSe2 structure.

Computed properties:
Its symmetry is No. 63. The total DFT energy (no corrections) is -4.765 eV per atom. As for the volume: 374 Å³ per cell. The total moment is 0.0 μB per formula unit.

Cell: 7.819 7.819 11.442 Å, 90.00 90.00 147.72°
Fractional positions:
Ba 0.224 0.776 0.750
Ba 0.776 0.224 0.250
Pr 0.000 0.000 0.000
Pr 0.000 0.000 0.500
Te 0.094 0.906 0.250
Te 0.906 0.094 0.750
Au 0.475 0.525 0.250
Au 0.525 0.475 0.750
Se 0.368 0.632 0.064
Se 0.368 0.632 0.436
Se 0.632 0.368 0.564
Se 0.632 0.368 0.936


## CuIrPtPb (GGA-PBE)

Data for a geometry-optimized CuIrPtPb structure.

Computed properties:
Its symmetry is No. 216. The total DFT energy (no corrections) is -5.317 eV per atom. As for the volume: 67 Å³ per cell. The total moment is 0.0 μB per formula unit.

Cell: 4.554 4.554 4.554 Å, 60.00 60.00 60.00°
Fractional positions:
Cu 0.000 0.000 0.000
Ir 0.500 0.500 0.500
Pt 0.250 0.250 0.250
Pb 0.750 0.750 0.750


## InWCl6 (GGA-PBE)

Data for a geometry-optimized InWCl6 structure.

Computed properties:
Its symmetry is No. 15. The total DFT energy (no corrections) is -4.186 eV per atom. As for the volume: 425 Å³ per cell. The total moment is 1.0 μB per formula unit.

Cell: 6.629 6.629 11.769 Å, 98.73 98.73 56.65°
Fractional positions:
In 0.077 0.923 0.750
In 0.923 0.077 0.250
W 0.000 0.500 0.000
W 0.500 0.000 0.500
Cl 0.089 0.205 0.533
Cl 0.196 0.394 0.831
Cl 0.205 0.089 0.033
Cl 0.310 0.531 0.107
Cl 0.394 0.196 0.331
Cl 0.469 0.690 0.393
Cl 0.531 0.310 0.607
Cl 0.606 0.804 0.669
Cl 0.690 0.469 0.893
Cl 0.795 0.911 0.967
Cl 0.804 0.606 0.169
Cl 0.911 0.795 0.467


## Tb2DyGa3CoGe2 (GGA-PBE)

Data for a geometry-optimized Tb2DyGa3CoGe2 structure.

Computed properties:
Its symmetry is No. 38. The total DFT energy (no corrections) is -5.068 eV per atom. As for the volume: 174 Å³ per cell. The total moment is 0.0 μB per formula unit.

Cell: 4.145 6.970 6.970 Å, 119.97 90.00 90.00°
Fractional positions:
Tb 0.000 0.200 0.800
Tb 0.000 0.800 0.200
Dy 0.000 0.599 0.599
Ga 0.500 0.200 0.428
Ga 0.500 0.428 0.200
Ga 0.500 0.971 0.971
Co 0.000 0.200 0.200
Ge 0.500 0.533 0.866
Ge 0.500 0.866 0.533


## Tl3Pd2 (GGA-PBE)

Data for a geometry-optimized Tl3Pd2 structure.

Computed properties:
Its symmetry is No. 127. The total DFT energy (no corrections) is -3.589 eV per atom. As for the volume: 219 Å³ per cell.

Cell: 7.909 7.909 3.497 Å, 90.00 90.00 90.00°
Fractional positions:
Tl 0.000 0.000 0.000
Tl 0.158 0.342 0.500
Tl 0.342 0.842 0.500
Tl 0.500 0.500 0.000
Tl 0.658 0.158 0.500
Tl 0.842 0.658 0.500
Pd 0.138 0.638 0.000
Pd 0.362 0.138 0.000
Pd 0.638 0.862 0.000
Pd 0.862 0.362 0.000


## ReCl3O2 (GGA-PBE)

Data for a geometry-optimized ReCl3O2 structure.

Computed properties:
Its symmetry is No. 58. The total DFT energy (no corrections) is -5.560 eV per atom. As for the volume: 508 Å³ per cell. The total moment is 0.0 μB per formula unit.

Cell: 7.980 8.172 7.793 Å, 90.00 90.00 90.00°
Fractional positions:
Re 0.071 0.240 0.000
Re 0.429 0.740 0.500
Re 0.571 0.260 0.500
Re 0.929 0.760 0.000
Cl 0.000 0.000 0.208
Cl 0.000 0.000 0.792
Cl 0.170 0.623 0.500
Cl 0.213 0.726 0.000
Cl 0.287 0.226 0.500
Cl 0.330 0.123 0.000
Cl 0.500 0.500 0.292
Cl 0.500 0.500 0.708
Cl 0.670 0.877 0.000
Cl 0.713 0.774 0.500
Cl 0.787 0.274 0.000
Cl 0.830 0.377 0.500
O 0.106 0.363 0.175
O 0.106 0.363 0.825
O 0.394 0.863 0.325
O 0.394 0.863 0.675
O 0.606 0.137 0.325
O 0.606 0.137 0.675
O 0.894 0.637 0.175
O 0.894 0.637 0.825


## LiSiGeIr (GGA-PBE)

Data for a geometry-optimized LiSiGeIr structure.

Computed properties:
Its symmetry is No. 216. The total DFT energy (no corrections) is -5.250 eV per atom. As for the volume: 56 Å³ per cell. The total moment is 0.0 μB per formula unit.

Cell: 4.293 4.293 4.293 Å, 60.00 60.00 60.00°
Fractional positions:
Li 0.000 0.000 0.000
Si 0.500 0.500 0.500
Ge 0.250 0.250 0.250
Ir 0.750 0.750 0.750


## YMgTlNi (GGA-PBE)

Data for a geometry-optimized YMgTlNi structure.

Computed properties:
Its symmetry is No. 216. The total DFT energy (no corrections) is -4.123 eV per atom. As for the volume: 79 Å³ per cell. The total moment is 0.0 μB per formula unit.

Cell: 4.813 4.813 4.813 Å, 60.00 60.00 60.00°
Fractional positions:
Y 0.000 0.000 0.000
Mg 0.250 0.250 0.250
Tl 0.500 0.500 0.500
Ni 0.750 0.750 0.750


## FeGe2Te (GGA-PBE)

Data for a geometry-optimized FeGe2Te structure.

Computed properties:
Its symmetry is No. 216. The total DFT energy (no corrections) is -4.622 eV per atom. As for the volume: 72 Å³ per cell. The total moment is 2.2 μB per formula unit.

Cell: 4.669 4.669 4.669 Å, 60.00 60.00 60.00°
Fractional positions:
Fe 0.000 0.000 0.000
Ge 0.250 0.250 0.250
Ge 0.500 0.500 0.500
Te 0.750 0.750 0.750